No. 1
SrScCl2 | PBE | optimized geometry

Summary:
**Uncorrected formation energy**: -1.063 eV per atom
**Fermi-level density of states**: 6.9 states/eV/cell

a b c (Å): 4.009 4.009 14.138
angles (deg): 90.00 90.00 90.00
Element x y z (fractional)
Sr  0.000  0.000  0.000
Sr  0.500  0.500  0.500
Sc  0.000  0.500  0.250
Sc  0.500  0.000  0.750
Cl  0.000  0.000  0.500
Cl  0.000  0.500  0.750
Cl  0.500  0.000  0.250
Cl  0.500  0.500  0.000



No. 2
YAg2Ge2 | PBE | optimized geometry

Summary:
**Formation enthalpy at 0 K**: -100.1 meV per atom
**Fermi-level density of states**: 4.7 states/eV/cell

a b c (Å): 7.880 7.880 3.269
angles (deg): 90.00 90.00 90.00
Element x y z (fractional)
Y  0.000  0.000  0.000
Y  0.500  0.500  0.000
Ag  0.144  0.356  0.500
Ag  0.356  0.856  0.500
Ag  0.644  0.144  0.500
Ag  0.856  0.644  0.500
Ge  0.152  0.652  0.000
Ge  0.348  0.152  0.000
Ge  0.652  0.848  0.000
Ge  0.848  0.348  0.000



Number 1: VASP energy -3.99 eV per atom. Number 2: VASP energy -4.38 eV per atom.